Entry 1:
# CoReP, optimized geometry, DFT PBE
# DFT formation energy = 0 kJ per mole of atoms
# distance to the lowest polymorph of the same formula = 33.5 kJ/mol of atoms
# E_tot = -8.319 eV/atom
data_CoReP
_cell_length_a 3.9674
_cell_length_b 3.9674
_cell_length_c 2.7569
_cell_angle_alpha 90.00
_cell_angle_beta 90.00
_cell_angle_gamma 120.00
_space_group_name_H-M_alt 'P 3 m 1'
_space_group_IT_number 156
_space_group_name_Hall 'P 3 -2"'
loop_
_atom_site_label
_atom_site_type_symbol
_atom_site_fract_x
_atom_site_fract_y
_atom_site_fract_z
Co1 Co 0.0000 0.0000 0.0000
Re1 Re 0.3333 0.6667 0.4701
P1 P 0.6667 0.3333 0.2142


Entry 2:
# CoReP2, optimized geometry, DFT PBE
# DFT formation energy = -25 kJ per mole of atoms
# distance to the lowest polymorph of the same formula = 0.0 kJ/mol of atoms
# E_tot = -7.851 eV/atom
data_CoReP2
_cell_length_a 3.1004
_cell_length_b 3.1004
_cell_length_c 5.1653
_cell_angle_alpha 90.00
_cell_angle_beta 90.00
_cell_angle_gamma 90.00
_space_group_name_H-M_alt 'P 4 m m'
_space_group_IT_number 99
_space_group_name_Hall 'P 4 -2'
loop_
_atom_site_label
_atom_site_type_symbol
_atom_site_fract_x
_atom_site_fract_y
_atom_site_fract_z
Co1 Co 0.0000 0.0000 0.0000
Re1 Re 0.5000 0.5000 0.6266
P1 P 0.0000 0.0000 0.4287
P2 P 0.5000 0.5000 0.1152


Entry 3:
# Co2ReP, optimized geometry, DFT PBE
# DFT formation energy = 1 kJ per mole of atoms
# E_tot = -8.002 eV/atom
data_Co2ReP
_cell_length_a 4.0474
_cell_length_b 4.0474
_cell_length_c 5.7120
_cell_angle_alpha 90.00
_cell_angle_beta 90.00
_cell_angle_gamma 90.00
_space_group_name_H-M_alt 'I -4 m 2'
_space_group_IT_number 119
_space_group_name_Hall 'I -4 -2'
loop_
_atom_site_label
_atom_site_type_symbol
_atom_site_fract_x
_atom_site_fract_y
_atom_site_fract_z
Co1 Co 0.0000 0.0000 0.0000
Co2 Co 0.0000 0.5000 0.2500
Re1 Re 0.0000 0.0000 0.5000
P1 P 0.0000 0.5000 0.7500


Entry 4:
# CoRe4P, optimized geometry, DFT PBE
# DFT formation energy = 91 kJ per mole of atoms
# E_tot = -9.440 eV/atom
data_CoRe4P
_cell_length_a 7.2856
_cell_length_b 7.2856
_cell_length_c 7.2856
_cell_angle_alpha 90.00
_cell_angle_beta 90.00
_cell_angle_gamma 90.00
_space_group_name_H-M_alt 'F -4 3 m'
_space_group_IT_number 216
_space_group_name_Hall 'F -4 2 3'
loop_
_atom_site_label
_atom_site_type_symbol
_atom_site_fract_x
_atom_site_fract_y
_atom_site_fract_z
Co1 Co 0.0000 0.0000 0.0000
Re1 Re 0.1250 0.1250 0.6250
P1 P 0.2500 0.2500 0.2500


Entry 5:
# Co2ReP, optimized geometry, DFT PBE
# DFT formation energy = -18 kJ per mole of atoms
# E_tot = -8.203 eV/atom
data_Co2ReP
_cell_length_a 2.7403
_cell_length_b 3.3835
_cell_length_c 5.3408
_cell_angle_alpha 90.00
_cell_angle_beta 104.85
_cell_angle_gamma 90.00
_space_group_name_H-M_alt 'P 1 m 1'
_space_group_IT_number 6
_space_group_name_Hall 'P -2y'
loop_
_atom_site_label
_atom_site_type_symbol
_atom_site_fract_x
_atom_site_fract_y
_atom_site_fract_z
Co1 Co 0.0000 0.0000 0.0000
Co2 Co 0.3526 0.5000 0.7086
Re1 Re 0.7331 0.0000 0.4685
P1 P 0.5654 0.5000 0.1303


Entry 6:
# CoReP2S, optimized geometry, DFT PBE
# distance to the lowest polymorph of the same formula = 1.1 kJ/mol of atoms
# raw formation energy = 1.034 eV/atom
# E_tot = -5.866 eV/atom
data_CoReP2S
_cell_length_a 4.2127
_cell_length_b 4.2127
_cell_length_c 4.3191
_cell_angle_alpha 90.00
_cell_angle_beta 90.00
_cell_angle_gamma 90.00
_space_group_name_H-M_alt 'P 4/m m m'
_space_group_IT_number 123
_space_group_name_Hall '-P 4 2'
loop_
_atom_site_label
_atom_site_type_symbol
_atom_site_fract_x
_atom_site_fract_y
_atom_site_fract_z
Co1 Co 0.0000 0.0000 0.0000
Re1 Re 0.5000 0.5000 0.5000
P1 P 0.0000 0.5000 0.0000
S1 S 0.0000 0.0000 0.5000


Entry 7:
# CoReP2S, optimized geometry, DFT PBE
# distance to the lowest polymorph of the same formula = 0.0 kJ/mol of atoms
# raw formation energy = 1.023 eV/atom
# E_tot = -5.877 eV/atom
data_CoReP2S
_cell_length_a 4.6120
_cell_length_b 4.6120
_cell_length_c 4.6658
_cell_angle_alpha 90.00
_cell_angle_beta 90.00
_cell_angle_gamma 90.00
_space_group_name_H-M_alt 'P 4/m m m'
_space_group_IT_number 123
_space_group_name_Hall '-P 4 2'
loop_
_atom_site_label
_atom_site_type_symbol
_atom_site_fract_x
_atom_site_fract_y
_atom_site_fract_z
Co1 Co 0.0000 0.0000 0.0000
Re1 Re 0.5000 0.5000 0.5000
P1 P 0.0000 0.5000 0.5000
S1 S 0.5000 0.5000 0.0000


Entry 8:
# SrCoReP2, optimized geometry, DFT PBE
# DFT formation energy = -69 kJ per mole of atoms
# E_tot = -7.121 eV/atom
data_SrCoReP2
_cell_length_a 3.9382
_cell_length_b 3.9382
_cell_length_c 11.6862
_cell_angle_alpha 90.00
_cell_angle_beta 90.00
_cell_angle_gamma 90.00
_space_group_name_H-M_alt 'I -4 m 2'
_space_group_IT_number 119
_space_group_name_Hall 'I -4 -2'
loop_
_atom_site_label
_atom_site_type_symbol
_atom_site_fract_x
_atom_site_fract_y
_atom_site_fract_z
Sr1 Sr 0.0000 0.0000 0.0000
Co1 Co 0.0000 0.5000 0.2500
Re1 Re 0.0000 0.5000 0.7500
P1 P 0.0000 0.0000 0.3523


Entry 9:
# ZrCo2ReP, optimized geometry, DFT PBE
# DFT formation energy = 170 kJ per mole of atoms
# E_tot = -6.367 eV/atom
data_ZrCo2ReP
_cell_length_a 4.4287
_cell_length_b 4.4287
_cell_length_c 4.7888
_cell_angle_alpha 90.00
_cell_angle_beta 90.00
_cell_angle_gamma 90.00
_space_group_name_H-M_alt 'P 4/m m m'
_space_group_IT_number 123
_space_group_name_Hall '-P 4 2'
loop_
_atom_site_label
_atom_site_type_symbol
_atom_site_fract_x
_atom_site_fract_y
_atom_site_fract_z
Zr1 Zr 0.0000 0.0000 0.0000
Co1 Co 0.0000 0.5000 0.0000
Re1 Re 0.5000 0.5000 0.5000
P1 P 0.0000 0.0000 0.5000


Entry 10:
# CoPRh3, optimized geometry, DFT PBE
# DFT formation energy = 29 kJ per mole of atoms
# distance to the lowest polymorph of the same formula = 0.0 kJ/mol of atoms
# E_tot = -6.611 eV/atom
data_CoPRh3
_cell_length_a 4.3319
_cell_length_b 4.3319
_cell_length_c 4.3319
_cell_angle_alpha 90.00
_cell_angle_beta 90.00
_cell_angle_gamma 90.00
_space_group_name_H-M_alt 'P m -3 m'
_space_group_IT_number 221
_space_group_name_Hall '-P 4 2 3'
loop_
_atom_site_label
_atom_site_type_symbol
_atom_site_fract_x
_atom_site_fract_y
_atom_site_fract_z
Co1 Co 0.0000 0.0000 0.0000
P1 P 0.5000 0.5000 0.5000
Rh1 Rh 0.0000 0.5000 0.5000


Entry 11:
# CoPRh4, optimized geometry, DFT PBE
# DFT formation energy = 61 kJ per mole of atoms
# E_tot = -6.352 eV/atom
data_CoPRh4
_cell_length_a 7.1788
_cell_length_b 7.1788
_cell_length_c 7.1788
_cell_angle_alpha 90.00
_cell_angle_beta 90.00
_cell_angle_gamma 90.00
_space_group_name_H-M_alt 'F -4 3 m'
_space_group_IT_number 216
_space_group_name_Hall 'F -4 2 3'
loop_
_atom_site_label
_atom_site_type_symbol
_atom_site_fract_x
_atom_site_fract_y
_atom_site_fract_z
Co1 Co 0.0000 0.0000 0.0000
P1 P 0.2500 0.2500 0.2500
Rh1 Rh 0.1250 0.1250 0.6250


Entry 12:
# Co2PRh2, optimized geometry, DFT PBE
# DFT formation energy = -3 kJ per mole of atoms
# E_tot = -6.896 eV/atom
data_Co2PRh2
_cell_length_a 5.6015
_cell_length_b 5.6015
_cell_length_c 4.0856
_cell_angle_alpha 90.00
_cell_angle_beta 90.00
_cell_angle_gamma 90.00
_space_group_name_H-M_alt 'P 4/m b m'
_space_group_IT_number 127
_space_group_name_Hall '-P 4 2ab'
loop_
_atom_site_label
_atom_site_type_symbol
_atom_site_fract_x
_atom_site_fract_y
_atom_site_fract_z
Co1 Co 0.1423 0.3577 0.0000
P1 P 0.0000 0.0000 0.0000
Rh1 Rh 0.1673 0.6673 0.5000


The evaluated D(E_F) for the records listed, in turn: 2.05 0.71 9.36 25.76 3.04 3.30 5.84 5.67 6.00 5.03 41.41 9.19 states/eV per cell.